Pr2NpCoN5 | Alexandria via LeMat-Bulk | PBE | optimized geometry; final energy = -8.7501 eV per atom; uncorrected formation energy = -80.6 kJ per mole of atoms
1.0
1.750 -6.840 0.000
1.750 6.840 0.000
0.000 0.000 10.525
Pr Np Co N
4 2 2 10
direct
0.107 0.893 0.500 Pr
0.131 0.869 0.148 Pr
0.869 0.131 0.648 Pr
0.893 0.107 0.000 Pr
0.192 0.808 0.841 Np
0.808 0.192 0.341 Np
0.459 0.541 0.258 Co
0.541 0.459 0.758 Co
0.032 0.968 0.825 N
0.295 0.705 0.470 N
0.322 0.678 0.210 N
0.341 0.659 0.826 N
0.495 0.505 0.595 N
0.505 0.495 0.095 N
0.659 0.341 0.326 N
0.678 0.322 0.710 N
0.705 0.295 0.970 N
0.968 0.032 0.325 N


TiAgSnAu | Alexandria via LeMat-Bulk | PBE | optimized geometry; final energy = -4.6139 eV per atom; formation enthalpy at 0 K = -0.107 eV/atom
1.0
6.706 0.000 0.000
0.000 6.706 0.000
0.000 0.000 6.706
Ti Ag Sn Au
4 4 4 4
direct
0.000 0.000 0.000 Ti
0.000 0.500 0.500 Ti
0.500 0.000 0.500 Ti
0.500 0.500 0.000 Ti
0.000 0.000 0.500 Ag
0.000 0.500 0.000 Ag
0.500 0.000 0.000 Ag
0.500 0.500 0.500 Ag
0.250 0.250 0.750 Sn
0.250 0.750 0.250 Sn
0.750 0.250 0.250 Sn
0.750 0.750 0.750 Sn
0.250 0.250 0.250 Au
0.250 0.750 0.750 Au
0.750 0.250 0.750 Au
0.750 0.750 0.250 Au


Zn2CrW | Alexandria via LeMat-Bulk | PBE | optimized geometry; final energy = -5.8826 eV per atom; formation enthalpy at 0 K = 0.399 eV/atom; polymorph energy (0 for the lowest one) = 220 meV/atom
1.0
2.729 0.000 0.000
-1.364 2.363 0.000
0.000 0.000 26.734
Zn Cr W
6 3 3
direct
0.000 0.000 0.246 Zn
0.000 0.000 0.754 Zn
0.333 0.667 0.420 Zn
0.333 0.667 0.913 Zn
0.667 0.333 0.087 Zn
0.667 0.333 0.580 Zn
0.000 0.000 0.500 Cr
0.333 0.667 0.167 Cr
0.667 0.333 0.833 Cr
0.000 0.000 0.000 W
0.333 0.667 0.667 W
0.667 0.333 0.333 W